This record from Alexandria via LeMat-Bulk describes an optimized crystal structure of BaCr2RuO8. The functional is PBE with a Hubbard U.

Cell and atoms, written as POSCAR:
```
BaCr2RuO8
1.0
-2.4040 1.7104 4.4464
-1.1182 -4.8420 -1.9440
5.4743 -2.9004 4.0754
Ba Cr Ru O
1 2 1 8
direct
0.0000 0.0000 0.0000
0.6667 0.3333 0.2658
0.3333 0.6667 0.7342
0.0000 0.0000 0.5000
0.3333 0.6667 0.9597
0.3283 0.2435 0.3348
0.7565 0.0848 0.3348
0.6667 0.3333 0.0403
0.2435 0.9152 0.6652
0.6717 0.7565 0.6652
0.0848 0.3283 0.6652
0.9152 0.6717 0.3348
```

Calculated total energy: -6.995 eV/atom
Volume: 15.24 A^3/atom
Magnetization: 0.0 μB/cell